Entry 1:
Density functional theory data (PBE) for a relaxed CePr2F crystal.

POSCAR file:
```
CePr2F
1.0
-0.8008 -0.5332 3.2104
-2.4476 -2.1520 0.7814
5.9340 -8.7119 1.7826
Ce F Pr
1 1 2
Cartesian
0.0000 0.0000 0.0000
1.3428 -5.6985 2.8872
3.7370 -6.2643 1.6411
-1.0514 -5.1327 4.1333
```

## Properties
- Total moment: 0.10 Bohr magnetons per cell
- VASP energy: -5.259 eV/atom
- Formation energy without anion corrections: -918 meV per atom

Entry 2:
Density functional theory data (PBE) for a relaxed CePrF crystal.

POSCAR file:
```
CePrF
1.0
5.9469 0.0000 0.0000
-2.9735 6.1761 0.5387
0.0000 1.2193 4.2624
Pr F Ce
2 2 2
Cartesian
2.9735 5.5666 4.1717
0.0000 1.8288 0.6294
0.0000 3.3344 2.5041
2.9735 4.0610 2.2970
0.0000 5.7101 1.8248
2.9735 1.6853 2.9763
```

## Properties
- Total moment: 1.29 Bohr magnetons per cell
- VASP energy: -5.718 eV/atom
- Formation energy without anion corrections: -1523 meV per atom

Entry 3:
Density functional theory data (PBE) for a relaxed CePr3F crystal.

POSCAR file:
```
CePr3F
1.0
5.2155 0.0000 0.0000
0.0000 5.2155 0.0000
0.0000 0.0000 5.2155
Pr Ce F
3 1 1
Cartesian
0.0000 0.0000 2.6077
0.0000 2.6077 0.0000
2.6077 0.0000 0.0000
2.6077 2.6077 2.6077
0.0000 0.0000 0.0000
```

## Properties
- Total moment: 1.30 Bohr magnetons per cell
- VASP energy: -5.340 eV/atom
- Formation energy without anion corrections: -912 meV per atom

Entry 4:
Density functional theory data (PBE) for a relaxed Ce2PrF8 crystal.

POSCAR file:
```
Ce2PrF8
1.0
-2.9052 0.8796 -2.5690
-4.2351 -3.7459 3.5068
2.1657 5.9583 2.6687
Pr F Ce
1 8 2
Cartesian
-1.4526 0.4398 -1.2845
-4.9553 -0.8504 2.2349
-1.2980 -1.1480 1.0748
-3.0656 0.8211 0.6701
-1.9090 2.2708 2.9364
-3.6766 4.2400 2.5317
-0.0193 3.9423 1.3717
-4.5742 1.8019 2.7121
-0.4004 1.2901 0.8945
-2.3425 3.3070 0.7035
-2.6321 -0.2150 2.9030
```

## Properties
- Total moment: 3.00 Bohr magnetons per cell
- VASP energy: -6.668 eV/atom
- Formation energy without anion corrections: -3794 meV per atom

Entry 5:
Density functional theory data (PBE) for a relaxed CePtF crystal.

POSCAR file:
```
CePtF
1.0
4.0047 0.0000 0.0000
0.0000 7.5938 0.0000
0.0000 0.0000 7.3568
Ce Pt F
4 4 4
Cartesian
3.0035 6.3627 5.9298
1.0012 1.2311 1.4270
3.0035 5.0280 2.2514
1.0012 2.5658 5.1054
1.0012 6.6676 3.5733
1.0012 4.7231 7.2517
3.0035 0.9262 3.7835
3.0035 2.8707 0.1051
1.0012 0.4056 6.4612
1.0012 3.3913 2.7828
3.0035 4.2025 4.5740
3.0035 7.1882 0.8956
```

## Properties
- Total moment: 3.89 Bohr magnetons per cell
- VASP energy: -6.796 eV/atom
- Formation energy without anion corrections: -2180 meV per atom

Entry 6:
Density functional theory data (PBE) for a relaxed CePu2F11 crystal.

POSCAR file:
```
CePu2F11
1.0
-4.2366 2.6190 6.7692
-8.3978 2.2722 -0.9179
-4.6901 -5.8270 4.5362
F Pu Ce
22 4 2
Cartesian
-11.0036 -1.6896 8.4928
-5.8339 -2.4509 6.8058
-12.8145 -2.5325 6.3250
-11.3159 -0.0187 6.2903
-8.3370 -4.1968 5.9147
-11.4905 1.5151 3.5817
-8.6622 -0.4679 5.1937
0.0000 0.0000 0.0000
-8.4141 -1.8721 7.2480
-4.2639 -2.5627 2.6146
-6.3209 0.7538 1.8947
-2.1441 -0.6640 1.8461
-4.5100 1.5967 4.0624
-8.9103 0.9363 3.1395
-8.9874 3.2610 4.4728
-8.4260 -2.6034 3.2366
-6.0391 -3.7423 4.2409
-15.1803 -0.2718 8.5413
-11.2853 2.8065 6.1465
-8.8984 1.6676 7.1509
-13.0605 1.6269 7.7728
-6.0085 -0.9171 4.0972
-8.3578 1.1969 1.0770
-7.3605 -2.3233 5.1725
-8.9666 -2.1326 9.3105
-9.9640 1.3875 5.2150
-4.3311 -0.2339 2.5969
-12.9933 -0.7018 7.7906
```

## Properties
- Total moment: 18.01 Bohr magnetons per cell
- VASP energy: -7.577 eV/atom
- Formation energy without anion corrections: -3635 meV per atom